# TmTh3Tc

A geometry-optimized TmTh3Tc structure (PBE-GGA, Alexandria via LeMat-Bulk).

E_form = 0.016 eV per atom
space group = Pnma (62)
N(E_F) = 23.4 states/eV per cell

a = 5.535 Å, b = 10.647 Å, c = 9.908 Å
α = 90.00°, β = 90.00°, γ = 90.00°
Fractional coordinates of all 20 atoms:
Tm 0.250 0.213 0.016
Tm 0.750 0.287 0.516
Tm 0.750 0.787 0.984
Tm 0.250 0.713 0.484
Th 0.250 0.067 0.448
Th 0.750 0.433 0.948
Th 0.750 0.933 0.552
Th 0.250 0.567 0.052
Th 0.250 0.376 0.327
Th 0.750 0.124 0.827
Th 0.750 0.624 0.673
Th 0.250 0.876 0.173
Th 0.250 0.398 0.713
Th 0.750 0.102 0.213
Th 0.750 0.602 0.287
Th 0.250 0.898 0.787
Tc 0.250 0.145 0.716
Tc 0.750 0.355 0.216
Tc 0.750 0.855 0.284
Tc 0.250 0.645 0.784